VASP calculation (PBE) on a relaxed structure of NdZnNO.

Lattice parameters (Å, degrees): 4.9568 4.9568 4.6186 90.00 90.00 90.00
Fractional positions:
Nd 0.0000 0.0000 0.5000
Nd 0.5000 0.5000 0.5000
O 0.5000 0.5000 0.0000
O 0.0000 0.0000 0.0000
Zn 0.5000 0.0000 0.9776
Zn 0.0000 0.5000 0.0224
N 0.5000 0.0000 0.5216
N 0.0000 0.5000 0.4784

Output
The density is 7.01 g cm⁻³. The value obtained for the volume is 56.7 Å³/f.u. As for the space-group type: P4/nmm (129).

VASP calculation (PBE) on a relaxed structure of NdZnNO.

Lattice parameters (Å, degrees): 3.7511 5.4097 6.0610 90.00 90.00 90.00
Fractional positions:
N 0.0000 0.9304 0.3253
N 0.0000 0.4304 0.6747
O 0.5000 0.3575 0.1183
O 0.5000 0.8575 0.8817
Zn 0.5000 0.9841 0.2026
Zn 0.5000 0.4841 0.7974
Nd 0.0000 0.9819 0.7091
Nd 0.0000 0.4819 0.2909

Output
The density is 6.47 g cm⁻³. The value obtained for the volume is 61.5 Å³/f.u. As for the space-group type: Pmc2_1 (26).

VASP calculation (PBE) on a relaxed structure of NdZnNO.

Lattice parameters (Å, degrees): 5.8220 7.5173 5.7322 90.00 90.00 90.00
Fractional positions:
Nd 0.0334 0.3521 0.3941
Nd 0.4666 0.3521 0.8941
Nd 0.9666 0.6479 0.8941
Nd 0.5334 0.6479 0.3941
Zn 0.8955 0.9626 0.5012
Zn 0.6045 0.9626 0.0012
Zn 0.3955 0.0374 0.5012
Zn 0.1045 0.0374 0.0012
O 0.2528 0.5293 0.1322
O 0.2472 0.5293 0.6322
O 0.7472 0.4707 0.6322
O 0.7528 0.4707 0.1322
N 0.6169 0.8858 0.6750
N 0.8831 0.8858 0.1750
N 0.1169 0.1142 0.6750
N 0.3831 0.1142 0.1750

Output
The density is 6.35 g cm⁻³. The value obtained for the volume is 62.7 Å³/f.u. As for the space-group type: Pca2_1 (29).

VASP calculation (PBE) on a relaxed structure of NdZnNO.

Lattice parameters (Å, degrees): 5.2473 5.6551 7.9542 90.00 90.00 90.00
Fractional positions:
O 0.6348 0.1170 0.5827
O 0.1348 0.8830 0.4173
O 0.6348 0.6170 0.4173
O 0.1348 0.3830 0.5827
Zn 0.5094 0.9512 0.3841
Zn 0.0094 0.0488 0.6159
Zn 0.5094 0.4512 0.6159
Zn 0.0094 0.5488 0.3841
N 0.5408 0.0488 0.1422
N 0.0408 0.4512 0.1422
N 0.0408 0.9512 0.8578
N 0.5408 0.5488 0.8578
Nd 0.5173 0.9715 0.8453
Nd 0.0173 0.0285 0.1547
Nd 0.0173 0.5285 0.8453
Nd 0.5173 0.4715 0.1547

Output
The density is 6.74 g cm⁻³. The value obtained for the volume is 59.0 Å³/f.u. As for the space-group type: Pca2_1 (29).

Summary of total DFT energy (no corrections) in eV per atom
-6.072, -6.278, -6.355, -6.264
(order as listed above)
Summary of energy relative to the lowest polymorph listed for this composition in meV/atom
283.0, 77.4, 0.0, 90.5
(order as listed above)